(1)
Density functional theory data (PBE) for a relaxed structure of Th2BeGaPt6.

Output
- DFT formation energy: -924 meV/atom
- N(E_F): 4.65 states/eV per cell
- Calculated volume: 19.24 A^3/atom
- Theoretical density: 14.8 g/cm³

```
10
Lattice="5.706 -2.761 0.000 5.706 2.761 0.000 -5.076 0.000 6.105" Properties=species:S:1:pos:R:3 pbc="T T T"
Th 1.747 0.000 1.272
Th 4.589 0.000 4.833
Be -2.538 0.000 3.052
Ga 5.706 0.000 0.000
Pt 4.308 1.404 1.549
Pt -0.299 0.000 3.714
Pt 2.028 1.404 4.556
Pt 4.308 -1.404 1.549
Pt 6.635 0.000 2.391
Pt 2.028 -1.404 4.556
```



(2)
Density functional theory data (PBE) for a relaxed structure of ThBeGa2Pt4.

Output
- DFT formation energy: -869 meV/atom
- N(E_F): 1.85 states/eV per cell
- Calculated volume: 16.95 A^3/atom
- Theoretical density: 14.2 g/cm³

```
8
Lattice="2.142 1.237 8.531 -2.142 1.237 8.531 0.000 -2.473 8.531" Properties=species:S:1:pos:R:3 pbc="T T T"
Th 0.000 0.000 0.000
Be 0.000 0.000 12.796
Ga 0.000 0.000 6.155
Ga 0.000 0.000 19.437
Pt 0.000 0.000 3.512
Pt 0.000 0.000 10.363
Pt 0.000 0.000 15.229
Pt 0.000 0.000 22.080
```



(3)
Density functional theory data (PBE) for a relaxed structure of TiBeGaPt.

Output
- DFT formation energy: -451 meV/atom
- N(E_F): 4.60 states/eV per cell
- Calculated volume: 13.77 A^3/atom
- Theoretical density: 9.7 g/cm³

```
4
Lattice="0.000 3.020 3.020 3.020 0.000 3.020 3.020 3.020 0.000" Properties=species:S:1:pos:R:3 pbc="T T T"
Ti 0.000 0.000 0.000
Be 4.530 4.530 4.530
Ga 1.510 1.510 1.510
Pt 3.020 3.020 3.020
```



(4)
Density functional theory data (PBE) for a relaxed structure of TmBeGaPt2.

Output
- DFT formation energy: -875 meV/atom
- N(E_F): 2.60 states/eV per cell
- Calculated volume: 17.09 A^3/atom
- Theoretical density: 12.4 g/cm³

```
5
Lattice="-1.882 1.882 6.034 1.882 -1.882 6.034 1.882 1.882 -6.034" Properties=species:S:1:pos:R:3 pbc="T T T"
Tm 0.000 0.000 0.000
Be 1.882 0.000 3.017
Ga 0.000 1.882 3.017
Pt 0.000 0.000 4.651
Pt 0.000 0.000 7.417
```



(5)
Density functional theory data (PBE) for a relaxed structure of Tm2Be2GaPt5.

Output
- DFT formation energy: -1020 meV/atom
- N(E_F): 7.62 states/eV per cell
- Calculated volume: 15.65 A^3/atom
- Theoretical density: 14.9 g/cm³

```
20
Lattice="9.440 0.000 0.000 0.000 9.440 0.000 0.000 0.000 3.512" Properties=species:S:1:pos:R:3 pbc="T T T"
Tm 1.675 3.045 0.000
Tm 3.045 7.766 0.000
Tm 6.395 1.675 0.000
Tm 7.766 6.395 0.000
Be 1.130 5.850 0.000
Be 3.591 1.130 0.000
Be 5.850 8.311 0.000
Be 8.311 3.591 0.000
Ga 0.000 0.000 0.000
Ga 4.720 4.720 0.000
Pt 0.000 4.720 1.756
Pt 0.639 7.436 1.756
Pt 2.004 0.639 1.756
Pt 2.716 5.359 1.756
Pt 4.082 2.716 1.756
Pt 4.720 0.000 1.756
Pt 5.359 6.725 1.756
Pt 6.725 4.082 1.756
Pt 7.436 8.802 1.756
Pt 8.802 2.004 1.756
```



(6)
Density functional theory data (PBE) for a relaxed structure of TmBe2GaPt4.

Output
- DFT formation energy: -733 meV/atom
- N(E_F): 3.35 states/eV per cell
- Calculated volume: 15.61 A^3/atom
- Theoretical density: 13.8 g/cm³

```
8
Lattice="2.040 1.178 8.662 -2.040 1.178 8.662 0.000 -2.356 8.662" Properties=species:S:1:pos:R:3 pbc="T T T"
Tm 0.000 0.000 0.000
Be 0.000 0.000 6.546
Be 0.000 0.000 19.439
Ga 0.000 0.000 12.992
Pt 0.000 0.000 3.313
Pt 0.000 0.000 10.427
Pt 0.000 0.000 15.558
Pt 0.000 0.000 22.672
```